A relaxed CaTa2Al crystal, computed with PBE.

* calculated density: 8.70 g/cm³
* calculated total energy: -56.3 eV per cell
* energy relative to the elements: 31.3 kJ per mole of atoms

a b c (Å): 2.954 5.153 10.755
angles (deg): 90.00 90.00 90.00
Element x y z (fractional)
Ca1 0.000 0.000 0.000
Ca2 0.500 0.500 0.500
Ta1 0.000 0.500 0.224
Ta2 0.000 0.500 0.776
Ta3 0.500 0.000 0.276
Ta4 0.500 0.000 0.724
Al1 0.000 0.000 0.500
Al2 0.500 0.500 0.000